# 1
DFT (PBE) results for crystalline Ac2PtBr at its relaxed geometry.

Structure (POSCAR):
```
Ac2PtBr
1.0
4.452 0.000 0.000
-2.226 3.856 0.000
0.000 0.000 24.694
Ac Pt Br
6 3 3
Direct
0.000 0.000 0.232 Ac
0.000 0.000 0.768 Ac
0.333 0.667 0.435 Ac
0.333 0.667 0.899 Ac
0.667 0.333 0.101 Ac
0.667 0.333 0.565 Ac
0.000 0.000 0.500 Pt
0.333 0.667 0.167 Pt
0.667 0.333 0.833 Pt
0.000 0.000 0.000 Br
0.333 0.667 0.667 Br
0.667 0.333 0.333 Br
```

Results
- spin magnetization (μB per cell) = 0.000
- space group = R-3m (166)
- crystal system = trigonal


# 2
DFT (PBE) results for crystalline Ac6Pt3Br at its relaxed geometry.

Structure (POSCAR):
```
Ac6Pt3Br
1.0
12.530 0.000 0.000
0.000 4.361 0.000
-5.700 0.000 13.593
Ac Pt Br
12 6 2
Direct
0.042 0.250 0.406 Ac
0.067 0.250 0.914 Ac
0.259 0.250 0.226 Ac
0.263 0.750 0.785 Ac
0.392 0.250 0.619 Ac
0.413 0.750 0.077 Ac
0.587 0.250 0.923 Ac
0.608 0.750 0.381 Ac
0.737 0.250 0.215 Ac
0.741 0.750 0.774 Ac
0.933 0.750 0.086 Ac
0.958 0.750 0.594 Ac
0.144 0.250 0.631 Pt
0.168 0.750 0.071 Pt
0.496 0.750 0.770 Pt
0.504 0.250 0.230 Pt
0.832 0.250 0.929 Pt
0.856 0.750 0.369 Pt
0.349 0.750 0.428 Br
0.651 0.250 0.572 Br
```

Results
- spin magnetization (μB per cell) = 0.000
- space group = P2_1/m (11)
- crystal system = monoclinic


# 3
DFT (PBE) results for crystalline Ac6PtRh2Br3 at its relaxed geometry.

Structure (POSCAR):
```
Ac6PtRh2Br3
1.0
3.788 -6.561 0.000
3.788 6.561 0.000
-2.522 0.000 8.284
Ac Pt Rh Br
6 1 2 3
Direct
0.096 0.435 0.805 Ac
0.226 0.226 0.195 Ac
0.435 0.096 0.805 Ac
0.565 0.904 0.195 Ac
0.774 0.774 0.805 Ac
0.904 0.565 0.195 Ac
0.500 0.500 0.000 Pt
0.167 0.833 0.000 Rh
0.833 0.167 0.000 Rh
0.000 0.000 0.500 Br
0.332 0.668 0.500 Br
0.668 0.332 0.500 Br
```

Results
- spin magnetization (μB per cell) = 0.000
- space group = C2/m (12)
- crystal system = monoclinic


# 4
DFT (PBE) results for crystalline Ac8Pt3RhBr4 at its relaxed geometry.

Structure (POSCAR):
```
Ac8Pt3RhBr4
1.0
7.662 -4.424 0.000
7.662 4.424 0.000
-5.121 0.000 8.247
Ac Pt Rh Br
8 3 1 4
Direct
0.230 0.230 0.696 Ac
0.230 0.736 0.695 Ac
0.264 0.770 0.305 Ac
0.268 0.268 0.304 Ac
0.732 0.732 0.696 Ac
0.736 0.230 0.695 Ac
0.770 0.264 0.305 Ac
0.770 0.770 0.304 Ac
0.000 0.500 0.500 Pt
0.500 0.000 0.500 Pt
0.500 0.500 0.500 Pt
0.000 0.000 0.500 Rh
0.000 0.000 0.000 Br
0.000 0.500 0.000 Br
0.500 0.000 0.000 Br
0.500 0.500 0.000 Br
```

Results
- spin magnetization (μB per cell) = 0.000
- space group = C2/m (12)
- crystal system = monoclinic


# 5
DFT (PBE) results for crystalline Ac4PtRhBr2 at its relaxed geometry.

Structure (POSCAR):
```
Ac4PtRhBr2
1.0
7.638 0.000 0.000
0.000 4.386 0.000
-2.572 0.000 8.269
Ac Pt Rh Br
4 1 1 2
Direct
0.228 0.000 0.194 Ac
0.264 0.500 0.805 Ac
0.736 0.500 0.195 Ac
0.772 0.000 0.806 Ac
0.500 0.000 0.000 Pt
0.000 0.500 0.000 Rh
0.000 0.000 0.500 Br
0.500 0.500 0.500 Br
```

Results
- spin magnetization (μB per cell) = 0.000
- space group = P2/m (10)
- crystal system = monoclinic


# 6
DFT (PBE) results for crystalline Ac6PtRh2Br2 at its relaxed geometry.

Structure (POSCAR):
```
Ac6PtRh2Br2
1.0
3.814 -6.591 0.000
3.814 6.591 0.000
-2.528 0.000 7.981
Ac Pt Rh Br
6 1 2 2
Direct
0.094 0.428 0.799 Ac
0.224 0.224 0.201 Ac
0.428 0.094 0.799 Ac
0.572 0.906 0.201 Ac
0.776 0.776 0.799 Ac
0.906 0.572 0.201 Ac
0.500 0.500 0.000 Pt
0.170 0.830 0.000 Rh
0.830 0.170 0.000 Rh
0.334 0.666 0.500 Br
0.666 0.334 0.500 Br
```

Results
- spin magnetization (μB per cell) = 0.000
- space group = C2/m (12)
- crystal system = monoclinic


Q: Which energy values were calculated for the entries above? A: -5.3337 -5.4141 -5.4297 -5.3676 -5.4054 -5.4731, in eV per atom.
Q: Which DOS at the Fermi energy values were calculated for the entries above? A: 7.520 16.964 5.099 11.266 3.664 5.961, in states/eV/cell.
Q: Which ΔE_f (raw) values were calculated for the entries above? A: -1.351 -0.970 -1.229 -1.303 -1.259 -1.042, in eV per atom.